# 1
Crystalline Rb4U3AgO12 at its relaxed geometry. Source: Alexandria via LeMat-Bulk, functional PBE.

Properties
The calculated total energy is -0.275 hartree per atom. The value obtained for the uncorrected formation energy is -2.4868 eV per atom. The calculation puts the magnetization at 0.000 μB/f.u. The value obtained for the calculated volume is 16.83 Å³ per atom.

abc: 8.764 8.764 8.764
angles: 90.00 90.00 90.00
Space group Im-3m (No. 229)
Asymmetric unit:
Rb  0.250  0.250  0.250
U  0.000  0.000  0.500
Ag  0.000  0.000  0.000
O  0.000  0.000  0.279
O  0.000  0.250  0.500

# 2
Crystalline YOsC at its relaxed geometry. Source: Alexandria via LeMat-Bulk, functional PBE.

Properties
The calculated total energy is -0.318 hartree per atom. The calculation puts the magnetization at 0.000 μB/f.u. Its energy relative to the elements is 0.323 eV per atom. The value obtained for the calculated volume is 16.26 Å³ per atom.

abc: 9.273 14.416 4.549
angles: 90.00 105.65 90.00
Space group C2/c (No. 15)
Asymmetric unit:
Y  0.000  0.086  0.250
Y  0.246  0.150  0.862
Os  0.000  0.282  0.750
Os  0.111  0.442  0.526
C  0.000  0.327  0.250
C  0.211  0.002  0.098

# 3
Crystalline Mn2InIr at its relaxed geometry. Source: Alexandria via LeMat-Bulk, functional PBE.

Properties
The calculated total energy is -0.272 hartree per atom. The calculation puts the magnetization at 7.934 μB/f.u. Its energy relative to the elements is 0.074 eV per atom. The value obtained for the calculated volume is 16.11 Å³ per atom.

abc: 3.093 3.093 6.734
angles: 90.00 90.00 90.00
Space group P4/mmm (No. 123)
Asymmetric unit:
Mn  0.000  0.000  0.223
In  0.500  0.500  0.500
Ir  0.500  0.500  0.000

# 4
Crystalline Ba2SnPbSe4 at its relaxed geometry. Source: Alexandria via LeMat-Bulk, functional PBE.

Properties
The calculated total energy is -0.163 hartree per atom. The value obtained for the uncorrected formation energy is -1.2373 eV per atom. The calculation puts the magnetization at 0.000 μB/f.u. The value obtained for the calculated volume is 33.17 Å³ per atom.

abc: 7.853 4.551 7.879
angles: 90.00 109.54 90.00
Space group P2/m (No. 10)
Asymmetric unit:
Ba  0.000  0.000  0.000
Ba  0.000  0.500  0.500
Sn  0.500  0.000  0.500
Pb  0.500  0.500  0.000
Se  0.266  0.000  0.752
Se  0.267  0.500  0.258

# 5
Crystalline Sc2CuB at its relaxed geometry. Source: Alexandria via LeMat-Bulk, functional PBE.

Properties
The calculated total energy is -0.204 hartree per atom. The calculation puts the magnetization at 0.000 μB/f.u. Its energy relative to the elements is 0.306 eV per atom. The value obtained for the calculated volume is 18.42 Å³ per atom.

abc: 3.2027 3.2027 24.8891
angles: 90.00 90.00 120.00
Space group R-3m (No. 166, hexagonal axes)
Asymmetric unit:
Sc  0.0000  0.0000  0.1076
Cu  0.0000  0.0000  0.0000
B  0.0000  0.0000  0.5000

# 6
Crystalline NdZnAu2 at its relaxed geometry. Source: Alexandria via LeMat-Bulk, functional PBE.

Properties
The calculated total energy is -0.139 hartree per atom. The calculation puts the magnetization at 0.000 μB/f.u. Its energy relative to the elements is -0.637 eV per atom. The value obtained for the calculated volume is 21.14 Å³ per atom.

abc: 7.006 4.656 10.369
angles: 90.00 90.00 90.00
Space group Pnma (No. 62)
Asymmetric unit:
Nd  0.247  0.250  0.159
Zn  0.072  0.250  0.867
Au  0.048  0.750  0.372
Au  0.216  0.750  0.957

What did the sixth record say?
Crystalline NdZnAu2 at its relaxed geometry. Source: Alexandria via LeMat-Bulk, functional PBE.

Properties
The calculated total energy is -0.139 hartree per atom. The calculation puts the magnetization at 0.000 μB/f.u. Its energy relative to the elements is -0.637 eV per atom. The value obtained for the calculated volume is 21.14 Å³ per atom.

abc: 7.006 4.656 10.369
angles: 90.00 90.00 90.00
Space group Pnma (No. 62)
Asymmetric unit:
Nd  0.247  0.250  0.159
Zn  0.072  0.250  0.867
Au  0.048  0.750  0.372
Au  0.216  0.750  0.957

Look up the calculated volume of the second one.
16.26 Å³ per atom

Look up the calculated volume of the third one.
16.11 Å³ per atom